Compound: SrZnCrF2
Source: Alexandria via LeMat-Bulk
Functional: PBE+U
Structure: relaxed

Structure (POSCAR):
```
SrZnCrF2
1.0
4.606 0.000 0.000
0.000 5.047 0.000
0.000 0.000 4.606
F Zn Sr Cr
2 1 1 1
direct
0.000 0.000 0.500 F
0.500 0.000 0.000 F
0.000 0.000 0.000 Zn
0.500 0.500 0.500 Sr
0.000 0.500 0.000 Cr
```

The energy comes out at -19.29 eV per cell. For the density of states at the Fermi level, the calculation gives 1.96 states/eV/f.u. The space group is P4/mmm (123). Its calculated density is 3769 kg/m3.